[1]
{
  "formula": "Pr4CuHg",
  "functional": "PBE",
  "state": "relaxed",
  "space_group": "P4/mmm (123)",
  "formation_enthalpy_0k_ev_per_atom": -0.175,
  "total_magnetization_mub_per_atom": 0.075,
  "volume_a3_per_atom": 29.9,
  "de_polymorph_mev_per_atom": 0,
  "lattice": [[3.726, -0.001, 0.000], [0.001, 3.726, 0.000], [0.000, 0.000, 12.913]],
  "species": ["Cu", "Pr", "Pr", "Pr", "Pr", "Hg"],
  "frac_coords": [[0.000, 0.000, 0.000], [0.500, 0.500, 0.133], [0.000, 0.000, 0.658], [0.500, 0.500, 0.867], [0.000, 0.000, 0.342], [0.500, 0.500, 0.500]]
}

=====

[2]
{
  "formula": "Rb2Ga2As",
  "functional": "PBE",
  "state": "relaxed",
  "space_group": "P4/mbm (127)",
  "formation_enthalpy_0k_ev_per_atom": -0.054,
  "total_magnetization_mub_per_atom": 0.000,
  "volume_a3_per_atom": 30.6,
  "lattice": [[-3.043, 0.796, -6.485], [-6.306, -2.230, 2.685], [-1.399, 5.567, 1.340]],
  "species": ["As", "As", "Rb", "Rb", "Rb", "Rb", "Ga", "Ga", "Ga", "Ga"],
  "frac_coords": [[0.000, 0.000, 0.000], [0.500, 0.500, 0.000], [0.307, 0.193, 0.500], [0.193, 0.693, 0.500], [0.693, 0.807, 0.500], [0.807, 0.307, 0.500], [0.126, 0.374, 0.000], [0.874, 0.626, 0.000], [0.374, 0.874, 0.000], [0.626, 0.126, 0.000]]
}

=====

[3]
{
  "formula": "La2SmI",
  "functional": "PBE",
  "state": "relaxed",
  "raw_formation_energy_ev_per_atom": -0.3894,
  "space_group": "P4/mmm (123)",
  "total_magnetization_mub_per_atom": 0.000,
  "volume_a3_per_atom": 35.1,
  "de_polymorph_mev_per_atom": 39,
  "lattice": [[3.768, 0.000, 0.000], [0.000, 3.768, 0.000], [0.000, 0.000, 9.896]],
  "species": ["La", "La", "I", "Sm"],
  "frac_coords": [[0.000, 0.000, 0.741], [0.000, 0.000, 0.259], [0.500, 0.500, 0.500], [0.500, 0.500, 0.000]]
}

=====

[4]
{
  "formula": "NaSr2LiIr",
  "functional": "PBE",
  "state": "relaxed",
  "space_group": "P4/mmm (123)",
  "formation_enthalpy_0k_ev_per_atom": 0.032,
  "total_magnetization_mub_per_atom": 0.000,
  "volume_a3_per_atom": 34.8,
  "lattice": [[-1.441, -2.428, -5.102], [-3.092, -4.068, 2.809], [-4.148, 2.982, -0.248]],
  "species": ["Sr", "Sr", "Ir", "Na", "Li"],
  "frac_coords": [[0.000, 0.500, 0.000], [0.500, 0.000, 0.000], [0.000, 0.000, 0.000], [0.500, 0.500, 0.500], [0.000, 0.000, 0.500]]
}

=====

[5]
{
  "formula": "LiSe",
  "functional": "PBE",
  "state": "relaxed",
  "raw_formation_energy_ev_per_atom": -0.6672,
  "space_group": "Imma (74)",
  "total_magnetization_mub_per_atom": 0.000,
  "volume_a3_per_atom": 18.4,
  "de_polymorph_mev_per_atom": 242,
  "lattice": [[-4.195, -4.087, 0.856], [-0.909, -4.864, -3.249], [3.879, 3.205, 3.117]],
  "species": ["Se", "Se", "Li", "Li"],
  "frac_coords": [[0.889, 0.639, 0.750], [0.111, 0.361, 0.250], [0.641, 0.891, 0.250], [0.359, 0.109, 0.750]]
}

=====

[6]
{
  "formula": "Hf4CN",
  "functional": "PBE",
  "state": "relaxed",
  "raw_formation_energy_ev_per_atom": -0.9513,
  "space_group": "Imma (74)",
  "total_magnetization_mub_per_atom": 0.000,
  "volume_a3_per_atom": 16.0,
  "lattice": [[-3.414, 3.357, -4.388], [-3.040, -5.459, -1.812], [-0.009, 1.822, 6.207]],
  "species": ["Hf", "Hf", "Hf", "Hf", "Hf", "Hf", "Hf", "Hf", "N", "N", "C", "C"],
  "frac_coords": [[0.253, 0.242, 0.505], [0.746, 0.753, 0.006], [0.747, 0.758, 0.495], [0.260, 0.753, 0.006], [0.740, 0.247, 0.994], [0.254, 0.247, 0.994], [0.253, 0.763, 0.505], [0.747, 0.237, 0.495], [0.000, 0.000, 0.500], [0.500, 0.000, 0.500], [0.500, 0.500, 0.000], [0.500, 0.000, 0.000]]
}

=====

[7]
{
  "formula": "ScNi2Mo",
  "functional": "PBE",
  "state": "relaxed",
  "space_group": "P2/m (10)",
  "formation_enthalpy_0k_ev_per_atom": -0.098,
  "total_magnetization_mub_per_atom": 0.000,
  "volume_a3_per_atom": 14.4,
  "de_polymorph_mev_per_atom": 49,
  "lattice": [[-3.088, 0.679, -1.944], [1.149, -1.134, -2.221], [-0.925, -6.155, -0.682]],
  "species": ["Sc", "Mo", "Ni", "Ni"],
  "frac_coords": [[0.500, 0.250, 0.250], [0.500, 0.750, 0.750], [0.000, 0.023, 0.978], [0.000, 0.477, 0.522]]
}

=====

[8]
{
  "formula": "TlFe2W",
  "functional": "PBE",
  "state": "relaxed",
  "space_group": "Cm (8)",
  "formation_enthalpy_0k_ev_per_atom": 0.623,
  "total_magnetization_mub_per_atom": 0.974,
  "volume_a3_per_atom": 15.3,
  "de_polymorph_mev_per_atom": 186,
  "lattice": [[-0.473, -1.459, 4.701], [-2.962, -2.178, 3.306], [1.189, -4.463, 0.179]],
  "species": ["Tl", "Fe", "Fe", "W"],
  "frac_coords": [[0.511, 0.511, 0.471], [0.985, 0.985, 0.990], [0.271, 0.271, 0.241], [0.733, 0.733, 0.799]]
}